Crystalline ErSn3Rh4 at its relaxed geometry, computed with GGA-PBE. Values from VASP.

Calculated values
Calculated formation energy in meV per atom: -599.9
Symmetry: C2/m, No. 12

```
&SYSTEM
  ibrav = 0, nat = 8, ntyp = 3
/
ATOMIC_SPECIES
Sn 118.71 Sn.upf
Rh 102.91 Rh.upf
Er 167.26 Er.upf
CELL_PARAMETERS angstrom
-2.131 1.382 3.709
-3.621 -2.381 -1.194
5.381 -5.051 2.250
ATOMIC_POSITIONS angstrom
Sn -1.811 -1.190 -0.597
Sn 0.183 -2.076 3.603
Sn -0.555 -3.974 1.162
Rh 0.663 -1.467 0.927
Rh 1.843 -4.083 2.580
Rh -2.214 -1.967 2.185
Rh -1.034 -4.583 3.838
Er -1.066 0.691 1.854
```

---

Crystalline TbDy7Er5 at its relaxed geometry, computed with GGA-PBE. Values from VASP.

Calculated values
Calculated formation energy in meV per atom: 255.0
Symmetry: Imm2, No. 44

```
&SYSTEM
  ibrav = 0, nat = 13, ntyp = 3
/
ATOMIC_SPECIES
Er 167.26 Er.upf
Dy 162.50 Dy.upf
Tb 158.93 Tb.upf
CELL_PARAMETERS angstrom
6.642 0.000 0.000
3.321 7.948 0.158
3.321 0.132 7.948
ATOMIC_POSITIONS angstrom
Er 8.186 4.431 8.011
Er 11.739 7.997 4.457
Er 8.186 7.997 4.457
Er 9.963 6.213 6.233
Er 11.739 4.431 8.011
Dy 6.642 1.622 6.757
Dy 9.963 2.861 5.550
Dy 6.642 2.181 2.188
Dy 9.963 5.541 2.879
Dy 6.642 6.751 1.644
Dy 6.642 4.660 4.675
Dy 3.321 2.173 2.180
Tb 6.642 7.780 7.805
```

---

Crystalline YGePdAu at its relaxed geometry, computed with GGA-PBE. Values from VASP.

Calculated values
Calculated formation energy in meV per atom: -623.3
Symmetry: F-43m, No. 216

```
&SYSTEM
  ibrav = 0, nat = 4, ntyp = 4
/
ATOMIC_SPECIES
Y 88.91 Y.upf
Pd 106.42 Pd.upf
Au 196.97 Au.upf
Ge 72.64 Ge.upf
CELL_PARAMETERS angstrom
4.803 0.000 0.000
2.402 4.160 0.000
2.402 1.387 3.922
ATOMIC_POSITIONS angstrom
Y 7.205 4.160 2.941
Pd 0.000 0.000 0.000
Au 4.803 2.773 1.961
Ge 2.402 1.387 0.980
```

---

Crystalline KNaBr3 at its relaxed geometry, computed with GGA-PBE. Values from VASP.

Calculated values
ΔE_f (raw) in eV per atom: -0.83
ΔE to the lowest computed polymorph in kJ/mol of atoms: 24.3
Symmetry: Pm-3m, No. 221

```
&SYSTEM
  ibrav = 0, nat = 5, ntyp = 3
/
ATOMIC_SPECIES
K 39.10 K.upf
Br 79.90 Br.upf
Na 22.99 Na.upf
CELL_PARAMETERS angstrom
-5.809 -0.968 1.786
0.996 -6.072 -0.053
1.770 0.239 5.889
ATOMIC_POSITIONS angstrom
K 0.000 0.000 0.000
Br 0.498 -3.036 -0.026
Br -2.904 -0.484 0.893
Br 0.885 0.120 2.944
Na -1.522 -3.401 3.811
```

---

Crystalline CoHgBi2Os at its relaxed geometry, computed with GGA-PBE. Values from VASP.

Calculated values
Calculated formation energy in meV per atom: 1179.4
Symmetry: P4/mmm, No. 123

```
&SYSTEM
  ibrav = 0, nat = 5, ntyp = 4
/
ATOMIC_SPECIES
Os 190.23 Os.upf
Hg 200.59 Hg.upf
Bi 208.98 Bi.upf
Co 58.93 Co.upf
CELL_PARAMETERS angstrom
5.231 0.000 0.000
0.000 5.303 0.000
0.000 0.000 5.231
ATOMIC_POSITIONS angstrom
Os 0.000 0.000 0.000
Hg 0.000 2.652 0.000
Bi 0.000 0.000 2.615
Bi 2.615 0.000 0.000
Co 2.615 2.652 2.615
```

---

Crystalline Sr2CuMo at its relaxed geometry, computed with GGA-PBE. Values from VASP.

Calculated values
Calculated formation energy in meV per atom: 782.0
ΔE to the lowest computed polymorph in kJ/mol of atoms: 16.3
Symmetry: Pmmm, No. 47

```
&SYSTEM
  ibrav = 0, nat = 4, ntyp = 3
/
ATOMIC_SPECIES
Mo 95.94 Mo.upf
Cu 63.55 Cu.upf
Sr 87.62 Sr.upf
CELL_PARAMETERS angstrom
3.300 0.000 0.000
0.000 3.311 -0.012
0.000 3.343 9.194
ATOMIC_POSITIONS angstrom
Mo 1.650 4.990 6.886
Cu 1.650 1.663 2.295
Sr 0.000 3.324 4.482
Sr 0.000 3.314 0.097
```

---

Crystalline Th8HgAu2 at its relaxed geometry, computed with GGA-PBE. Values from VASP.

Calculated values
Calculated formation energy in meV per atom: -114.1
Symmetry: C2/m, No. 12

```
&SYSTEM
  ibrav = 0, nat = 11, ntyp = 3
/
ATOMIC_SPECIES
Th 232.04 Th.upf
Hg 200.59 Hg.upf
Au 196.97 Au.upf
CELL_PARAMETERS angstrom
-2.585 -0.024 5.804
6.059 -5.385 2.420
7.754 1.091 3.201
ATOMIC_POSITIONS angstrom
Th 5.384 -1.774 3.022
Th 6.859 -4.182 5.275
Th 10.627 -3.410 5.207
Th 7.705 -0.950 5.665
Th 0.601 -0.908 6.218
Th 4.370 -0.135 6.150
Th 3.524 -3.368 5.760
Th 5.845 -2.544 8.403
Hg 0.000 0.000 0.000
Au 2.581 -1.121 3.686
Au 8.647 -3.197 7.738
```

---

Crystalline CeNdDyPa at its relaxed geometry, computed with GGA-PBE. Values from VASP.

Calculated values
Calculated formation energy in meV per atom: 397.1
Symmetry: F-43m, No. 216

```
&SYSTEM
  ibrav = 0, nat = 4, ntyp = 4
/
ATOMIC_SPECIES
Pa 231.04 Pa.upf
Dy 162.50 Dy.upf
Nd 144.24 Nd.upf
Ce 140.12 Ce.upf
CELL_PARAMETERS angstrom
-5.179 2.001 0.356
-4.200 -2.701 -2.452
-3.795 -2.639 3.096
ATOMIC_POSITIONS angstrom
Pa 0.000 0.000 0.000
Dy -6.587 -1.670 0.500
Nd -3.294 -0.835 0.250
Ce -9.881 -2.505 0.750
```

---

Crystalline Tb5Ir2Au2 at its relaxed geometry, computed with GGA-PBE. Values from VASP.

Calculated values
Calculated formation energy in meV per atom: -814.2
Symmetry: Cmce, No. 64

```
&SYSTEM
  ibrav = 0, nat = 18, ntyp = 3
/
ATOMIC_SPECIES
Tb 158.93 Tb.upf
Ir 192.22 Ir.upf
Au 196.97 Au.upf
CELL_PARAMETERS angstrom
7.670 0.000 0.000
0.000 7.548 0.000
0.000 -3.774 7.579
ATOMIC_POSITIONS angstrom
Tb 2.539 6.268 1.941
Tb 0.000 0.000 0.000
Tb 5.131 -2.493 5.639
Tb 5.131 1.281 1.941
Tb 2.539 2.493 5.639
Tb 3.835 3.774 0.000
Tb 6.374 5.055 1.941
Tb 1.296 -1.281 5.639
Tb 1.296 2.493 1.941
Tb 6.374 1.281 5.639
Ir 6.657 2.781 0.000
Ir 1.013 4.767 0.000
Ir 2.822 0.993 0.000
Ir 4.848 6.555 0.000
Au 3.835 3.774 3.134
Au 3.835 0.000 4.446
Au 0.000 3.774 4.446
Au 0.000 0.000 3.134
```

---

Crystalline SrAg2Cl4 at its relaxed geometry, computed with GGA-PBE. Values from VASP.

Calculated values
ΔE_f (raw) in eV per atom: -1.30
ΔE to the lowest computed polymorph in kJ/mol of atoms: 0.0
Symmetry: P-1, No. 2

```
&SYSTEM
  ibrav = 0, nat = 7, ntyp = 3
/
ATOMIC_SPECIES
Cl 35.45 Cl.upf
Ag 107.87 Ag.upf
Sr 87.62 Sr.upf
CELL_PARAMETERS angstrom
-0.859 -3.230 -2.925
-1.435 -2.160 6.198
-6.292 3.477 -2.005
ATOMIC_POSITIONS angstrom
Cl -6.493 0.577 -2.117
Cl -2.879 0.342 0.470
Cl -2.093 -2.490 3.385
Cl -5.707 -2.255 0.798
Ag -4.393 -0.643 -1.366
Ag -4.193 -1.270 2.634
Sr 0.000 0.000 0.000
```

---

Crystalline Er3Tm4Co4 at its relaxed geometry, computed with GGA-PBE. Values from VASP.

Calculated values
Calculated formation energy in meV per atom: -143.5
Symmetry: Immm, No. 71

```
&SYSTEM
  ibrav = 0, nat = 11, ntyp = 3
/
ATOMIC_SPECIES
Co 58.93 Co.upf
Er 167.26 Er.upf
Tm 168.93 Tm.upf
CELL_PARAMETERS angstrom
-2.818 1.684 1.355
-5.276 -5.075 -4.666
3.804 -3.359 7.428
ATOMIC_POSITIONS angstrom
Co -2.537 -0.243 -0.320
Co -1.530 -1.669 3.545
Co -2.761 -5.082 0.573
Co -5.557 -3.148 -2.990
Er -4.240 -5.701 2.920
Er -0.051 -1.049 1.198
Er -2.638 -2.537 -2.333
Tm 0.816 -2.436 4.723
Tm -3.149 -2.431 1.126
Tm -5.107 -4.314 -0.605
Tm -1.141 -4.319 2.992
```

---

Crystalline Sr5In2H2 at its relaxed geometry, computed with GGA-PBE. Values from VASP.

Calculated values
Total energy in eV/atom: -2.629
Symmetry: Ima2, No. 46

```
&SYSTEM
  ibrav = 0, nat = 18, ntyp = 3
/
ATOMIC_SPECIES
H 1.01 H.upf
Sr 87.62 Sr.upf
In 114.82 In.upf
CELL_PARAMETERS angstrom
7.548 0.000 -2.473
-0.773 7.140 -2.359
-0.582 -0.439 10.977
ATOMIC_POSITIONS angstrom
H 0.967 1.634 4.399
H -0.007 0.068 -0.022
H 5.212 5.204 1.702
H 3.380 3.638 -2.438
Sr 3.498 4.532 0.243
Sr 1.485 0.962 2.208
Sr -0.679 3.423 4.283
Sr 4.694 5.868 3.895
Sr 7.243 -0.147 2.993
Sr 0.992 1.291 9.410
Sr 5.183 5.547 -3.309
Sr 2.682 2.298 5.860
Sr 5.572 1.977 -2.131
Sr 0.609 4.862 8.230
In 5.918 2.414 5.129
In 1.653 5.984 5.221
In 0.260 4.429 0.969
In 4.525 0.859 0.877
```

---

Crystalline Fe2SiSb2 at its relaxed geometry, computed with GGA-PBE. Values from VASP.

Calculated values
ΔE_f (raw) in eV per atom: 0.71
Symmetry: I4/mmm, No. 139

```
&SYSTEM
  ibrav = 0, nat = 5, ntyp = 3
/
ATOMIC_SPECIES
Si 28.09 Si.upf
Sb 121.76 Sb.upf
Fe 55.84 Fe.upf
CELL_PARAMETERS angstrom
-2.303 2.303 4.384
2.303 -2.303 4.384
2.303 2.303 -4.384
ATOMIC_POSITIONS angstrom
Si 0.000 0.000 0.000
Sb 2.303 0.000 2.192
Sb 0.000 2.303 2.192
Fe 0.000 0.000 3.347
Fe 0.000 0.000 5.420
```

---

Crystalline Cu2Sn2Cl7 at its relaxed geometry, computed with GGA-PBE. Values from VASP.

Calculated values
ΔE_f (raw) in eV per atom: -0.74
Symmetry: C2/m, No. 12

```
&SYSTEM
  ibrav = 0, nat = 11, ntyp = 3
/
ATOMIC_SPECIES
Cl 35.45 Cl.upf
Sn 118.71 Sn.upf
Cu 63.55 Cu.upf
CELL_PARAMETERS angstrom
-2.669 -3.674 -4.640
2.416 -5.500 3.938
-6.184 1.523 3.324
ATOMIC_POSITIONS angstrom
Cl -1.871 -5.033 4.247
Cl -4.913 -2.549 4.030
Cl 0.000 0.000 0.000
Cl -2.135 -2.484 1.498
Cl -4.301 -5.169 1.124
Cl -1.524 -5.103 -1.407
Cl -4.566 -2.619 -1.625
Sn -4.834 -2.507 1.196
Sn -1.603 -5.145 1.427
Cu -3.184 -4.120 -2.520
Cu -3.252 -3.532 5.142
```

---

Crystalline La8Pr2Sc at its relaxed geometry, computed with GGA-PBE. Values from VASP.

Calculated values
Calculated formation energy in meV per atom: 99.1
Symmetry: Immm, No. 71

```
&SYSTEM
  ibrav = 0, nat = 11, ntyp = 3
/
ATOMIC_SPECIES
La 138.91 La.upf
Pr 140.91 Pr.upf
Sc 44.96 Sc.upf
CELL_PARAMETERS angstrom
5.615 0.000 -1.705
-0.975 7.218 -3.210
-0.090 -0.041 9.802
ATOMIC_POSITIONS angstrom
La 3.091 3.036 0.081
La -0.270 1.996 -0.888
La 4.820 5.181 5.774
La 1.860 1.170 6.127
La 0.745 1.192 2.454
La 3.805 5.985 2.433
La 1.459 4.141 4.806
La 2.690 6.007 -1.240
Pr 4.145 2.140 3.552
Pr 0.405 5.037 1.335
Sc 2.807 0.000 -0.852
```

---

Crystalline Ba3Pr3NdSe8 at its relaxed geometry, computed with GGA-PBE. Values from VASP.

Calculated values
ΔE_f (raw) in eV per atom: -1.94
Symmetry: R-3m, No. 166

```
&SYSTEM
  ibrav = 0, nat = 15, ntyp = 4
/
ATOMIC_SPECIES
Pr 140.91 Pr.upf
Nd 144.24 Nd.upf
Se 78.96 Se.upf
Ba 137.33 Ba.upf
CELL_PARAMETERS angstrom
-5.218 -3.225 6.197
8.306 -2.606 -0.497
-1.756 8.434 2.911
ATOMIC_POSITIONS angstrom
Pr -3.487 2.604 4.554
Pr 0.666 1.301 4.305
Pr 3.275 2.914 1.207
Nd -0.878 4.217 1.455
Se -0.127 -1.456 5.270
Se 5.636 2.741 3.090
Se 1.459 4.058 3.341
Se 3.014 1.121 6.204
Se 2.460 0.138 2.143
Se -1.127 2.464 6.468
Se -1.682 1.482 2.407
Se -4.304 -0.139 5.521
Ba 1.544 -2.916 2.850
Ba 0.000 0.000 0.000
Ba 4.153 -1.303 -0.248
```

---

Crystalline NpCdAu2 at its relaxed geometry, computed with GGA-PBE. Values from VASP.

Calculated values
Calculated formation energy in meV per atom: -153.7
Symmetry: P4/mmm, No. 123

```
&SYSTEM
  ibrav = 0, nat = 4, ntyp = 3
/
ATOMIC_SPECIES
Cd 112.41 Cd.upf
Au 196.97 Au.upf
Np 237.00 Np.upf
CELL_PARAMETERS angstrom
-1.936 1.310 2.199
-0.324 -2.861 1.419
6.448 1.609 4.718
ATOMIC_POSITIONS angstrom
Cd -1.130 -0.775 1.809
Au 4.919 1.227 3.599
Au 1.530 0.382 1.119
Np 2.094 0.029 4.168
```

---

One value per record, in order, for total magnetic moment: 0.00, 0.00, 0.00, 0.22, 0.39, 0.00, 0.00, 0.99, 0.00, 0.00, 0.02, 0.00, 0.00, 0.09, 0.00, 0.00, 1.12 μB per atom.